A plane-wave DFT calculation with PBE with a Hubbard U was carried out for crystalline MoH12PdN4O4 at its relaxed geometry.

a = 7.5306 Å, b = 7.5306 Å, c = 15.8718 Å
α = 90.00°, β = 90.00°, γ = 90.00°
Space group I4_1/amd (No. 141, origin choice 2)
Unique sites:
Mo: 0.0000 0.2500 0.3750 [4 per cell]
H: 0.0000 0.0546 0.1924 [16 per cell]
H: 0.1101 0.0823 0.1012 [32 per cell]
Pd: 0.0000 0.2500 0.8750 [4 per cell]
N: 0.0000 0.0243 0.1286 [16 per cell]
O: 0.0000 0.0531 0.3106 [16 per cell]

Output
* E: -484.53 eV for the cell shown
* crystal system: tetragonal